(1)
Entry from the Alexandria database: a relaxed structure of PaSi2Ni6 (PBE).

Calculated values
Magnetic moment, μB/f.u.: 1.4
Final energy, eV per atom: -6.4988
Space group: P4/mmm
Energy relative to the elements, uncorrected, meV/atom: -384

Cell: 4.020 4.020 7.376 Å, 90.00 90.00 90.00°
Fractional coordinates of all 9 atoms:
Pa: 0.000 0.000 0.000
Si: 0.500 0.500 0.161
Si: 0.500 0.500 0.839
Ni: 0.000 0.000 0.500
Ni: 0.000 0.500 0.304
Ni: 0.000 0.500 0.696
Ni: 0.500 0.000 0.304
Ni: 0.500 0.000 0.696
Ni: 0.500 0.500 0.500

---

(2)
Entry from the Alexandria database: a relaxed structure of Ta2In2Cl (PBE).

Calculated values
Magnetic moment, μB/f.u.: 0.0
Final energy, eV per atom: -5.7346
ΔE to the lowest computed polymorph, kJ/mol of formula units: 0.0
Space group: I4/mmm
Energy relative to the elements, uncorrected, meV/atom: 471

Cell: 8.417 8.417 8.417 Å, 153.70 153.70 37.54°
Fractional coordinates of all 5 atoms:
Ta: 0.250 0.750 0.500
Ta: 0.750 0.250 0.500
In: 0.096 0.096 0.000
In: 0.904 0.904 0.000
Cl: 0.500 0.500 0.000

---

(3)
Entry from the Alexandria database: a relaxed structure of LiInGePb (PBE).

Calculated values
Magnetic moment, μB/f.u.: 0.0
Final energy, eV per atom: -3.2726
Space group: F-43m

Cell: 5.142 5.142 5.142 Å, 60.00 60.00 60.00°
Fractional coordinates of all 4 atoms:
Li: 0.000 0.000 0.000
In: 0.250 0.250 0.250
Ge: 0.500 0.500 0.500
Pb: 0.750 0.750 0.750

---

(4)
Entry from the Alexandria database: a relaxed structure of K2BeP (PBE).

Calculated values
Magnetic moment, μB/f.u.: 0.0
Final energy, eV per atom: -2.2038
ΔE to the lowest computed polymorph, kJ/mol of formula units: 336.3
Space group: Pmmm

Cell: 2.908 4.619 8.027 Å, 90.00 90.00 90.00°
Fractional coordinates of all 4 atoms:
K: 0.000 0.000 0.225
K: 0.000 0.000 0.775
Be: 0.500 0.500 0.500
P: 0.500 0.500 0.000

---

(5)
Entry from the Alexandria database: a relaxed structure of Zn2PBr (PBE).

Calculated values
Magnetic moment, μB/f.u.: 0.0
Final energy, eV per atom: -2.3625
ΔE to the lowest computed polymorph, kJ/mol of formula units: 192.6
Space group: Cmmm
Energy relative to the elements, uncorrected, meV/atom: 45

Cell: 3.707 3.707 7.225 Å, 90.00 90.00 119.43°
Fractional coordinates of all 4 atoms:
Zn: 0.000 0.000 0.208
Zn: 0.000 0.000 0.792
P: 0.500 0.500 0.000
Br: 0.500 0.500 0.500

---

(6)
Entry from the Alexandria database: a relaxed structure of NbSb2Pb (PBE).

Calculated values
Magnetic moment, μB/f.u.: 1.0
Final energy, eV per atom: -5.1184
Space group: I-42d
Energy relative to the elements, uncorrected, meV/atom: 387

Cell: 8.278 8.278 8.278 Å, 132.93 132.93 68.76°
Fractional coordinates of all 8 atoms:
Nb: 0.000 0.000 0.000
Nb: 0.750 0.250 0.500
Sb: 0.073 0.625 0.948
Sb: 0.375 0.323 0.448
Sb: 0.677 0.125 0.052
Sb: 0.875 0.927 0.552
Pb: 0.250 0.750 0.500
Pb: 0.500 0.500 0.000